# BaTc2O6F2 | Alexandria via LeMat-Bulk | PBE | relaxed
# Total energy ... -6.909 eV/atom
data_BaTc2O6F2
_cell_length_a 6.846
_cell_length_b 6.846
_cell_length_c 5.224
_cell_angle_alpha 90.00
_cell_angle_beta 90.00
_cell_angle_gamma 120.00
_space_group_name_H-M_alt 'P 1'
_space_group_IT_number 1
loop_
_space_group_symop_operation_xyz
'x,y,z'
loop_
_atom_site_label
_atom_site_fract_x
_atom_site_fract_y
_atom_site_fract_z
Ba1 0.000 0.000 0.000
Tc1 0.333 0.667 0.626
Tc2 0.667 0.333 0.374
O1 0.211 0.384 0.723
O2 0.174 0.789 0.723
O3 0.616 0.826 0.723
O4 0.789 0.616 0.277
O5 0.826 0.211 0.277
O6 0.384 0.174 0.277
F1 0.333 0.667 0.264
F2 0.667 0.333 0.736

---

# CaYTa | Alexandria via LeMat-Bulk | PBE | relaxed
# Total energy ... -6.237 eV/atom
# E_form ... 536 meV/atom
data_CaYTa
_cell_length_a 3.317
_cell_length_b 3.317
_cell_length_c 8.530
_cell_angle_alpha 90.00
_cell_angle_beta 90.00
_cell_angle_gamma 120.00
_space_group_name_H-M_alt 'P 1'
_space_group_IT_number 1
loop_
_space_group_symop_operation_xyz
'x,y,z'
loop_
_atom_site_label
_atom_site_fract_x
_atom_site_fract_y
_atom_site_fract_z
Y1 0.333 0.667 0.631
Ca1 0.000 0.000 0.027
Ta1 0.667 0.333 0.343

---

# KNbCd2Ge | Alexandria via LeMat-Bulk | PBE | relaxed
# Total energy ... -2.905 eV/atom
# E_form ... 618 meV/atom
data_KNbCd2Ge
_cell_length_a 5.348
_cell_length_b 5.075
_cell_length_c 5.348
_cell_angle_alpha 90.00
_cell_angle_beta 90.00
_cell_angle_gamma 90.00
_space_group_name_H-M_alt 'P 1'
_space_group_IT_number 1
loop_
_space_group_symop_operation_xyz
'x,y,z'
loop_
_atom_site_label
_atom_site_fract_x
_atom_site_fract_y
_atom_site_fract_z
K1 0.500 0.500 0.500
Nb1 0.000 0.500 0.000
Ge1 0.000 0.000 0.000
Cd1 0.000 0.000 0.500
Cd2 0.500 0.000 0.000

---

# CeNdEuMg | Alexandria via LeMat-Bulk | PBE | relaxed
# Total energy ... -5.472 eV/atom
# E_form ... 171 meV/atom
data_CeNdEuMg
_cell_length_a 5.638
_cell_length_b 5.638
_cell_length_c 5.638
_cell_angle_alpha 60.00
_cell_angle_beta 60.00
_cell_angle_gamma 60.00
_space_group_name_H-M_alt 'P 1'
_space_group_IT_number 1
loop_
_space_group_symop_operation_xyz
'x,y,z'
loop_
_atom_site_label
_atom_site_fract_x
_atom_site_fract_y
_atom_site_fract_z
Eu1 0.750 0.750 0.750
Mg1 0.000 0.000 0.000
Nd1 0.250 0.250 0.250
Ce1 0.500 0.500 0.500

---

# Al2ZnNi2 | Alexandria via LeMat-Bulk | PBE | relaxed
# Total energy ... -4.511 eV/atom
# E_form ... -447 meV/atom
data_Al2ZnNi2
_cell_length_a 6.742
_cell_length_b 6.742
_cell_length_c 2.895
_cell_angle_alpha 90.00
_cell_angle_beta 90.00
_cell_angle_gamma 90.00
_space_group_name_H-M_alt 'P 1'
_space_group_IT_number 1
loop_
_space_group_symop_operation_xyz
'x,y,z'
loop_
_atom_site_label
_atom_site_fract_x
_atom_site_fract_y
_atom_site_fract_z
Ni1 0.355 0.855 0.000
Ni2 0.855 0.645 0.000
Ni3 0.645 0.145 0.000
Ni4 0.145 0.355 0.000
Zn1 0.000 0.000 0.000
Zn2 0.500 0.500 0.000
Al1 0.151 0.651 0.500
Al2 0.651 0.849 0.500
Al3 0.849 0.349 0.500
Al4 0.349 0.151 0.500

---

# RbScSb3 | Alexandria via LeMat-Bulk | PBE | relaxed
# Total energy ... -4.178 eV/atom
data_RbScSb3
_cell_length_a 5.599
_cell_length_b 5.599
_cell_length_c 5.599
_cell_angle_alpha 90.00
_cell_angle_beta 90.00
_cell_angle_gamma 90.00
_space_group_name_H-M_alt 'P 1'
_space_group_IT_number 1
loop_
_space_group_symop_operation_xyz
'x,y,z'
loop_
_atom_site_label
_atom_site_fract_x
_atom_site_fract_y
_atom_site_fract_z
Sc1 0.000 0.000 0.000
Sb1 0.000 0.500 0.000
Sb2 0.000 0.000 0.500
Sb3 0.500 0.000 0.000
Rb1 0.500 0.500 0.500

---

# HoTm2Si2Pt7 | Alexandria via LeMat-Bulk | PBE | relaxed
# Total energy ... -6.682 eV/atom
data_HoTm2Si2Pt7
_cell_length_a 4.012
_cell_length_b 4.012
_cell_length_c 13.753
_cell_angle_alpha 83.46
_cell_angle_beta 83.46
_cell_angle_gamma 89.51
_space_group_name_H-M_alt 'P 1'
_space_group_IT_number 1
loop_
_space_group_symop_operation_xyz
'x,y,z'
loop_
_atom_site_label
_atom_site_fract_x
_atom_site_fract_y
_atom_site_fract_z
Ho1 0.000 0.000 0.000
Tm1 0.876 0.876 0.357
Tm2 0.124 0.124 0.643
Si1 0.601 0.601 0.740
Si2 0.399 0.399 0.260
Pt1 0.500 0.500 0.000
Pt2 0.358 0.358 0.430
Pt3 0.642 0.642 0.570
Pt4 0.936 0.436 0.163
Pt5 0.436 0.936 0.163
Pt6 0.564 0.064 0.837
Pt7 0.064 0.564 0.837

---

# PmThN | Alexandria via LeMat-Bulk | PBE | relaxed
# Total energy ... -7.690 eV/atom
data_PmThN
_cell_length_a 5.486
_cell_length_b 8.135
_cell_length_c 7.023
_cell_angle_alpha 90.00
_cell_angle_beta 90.00
_cell_angle_gamma 90.00
_space_group_name_H-M_alt 'P 1'
_space_group_IT_number 1
loop_
_space_group_symop_operation_xyz
'x,y,z'
loop_
_atom_site_label
_atom_site_fract_x
_atom_site_fract_y
_atom_site_fract_z
N1 0.250 0.873 0.413
N2 0.750 0.373 0.087
N3 0.250 0.627 0.913
N4 0.750 0.127 0.587
Pm1 0.750 0.882 0.416
Pm2 0.750 0.618 0.916
Pm3 0.250 0.118 0.584
Pm4 0.250 0.382 0.084
Th1 0.750 0.363 0.413
Th2 0.750 0.137 0.913
Th3 0.250 0.863 0.087
Th4 0.250 0.637 0.587

---

- Which value of total energy does entry 6 give?
  -4.178 eV/atom

---

- What is the formula in the eighth record?
  PmThN

---

- Which of these has the lowest total energy?
  PmThN

---

What did the seventh record say?
# HoTm2Si2Pt7 | Alexandria via LeMat-Bulk | PBE | relaxed
# Total energy ... -6.682 eV/atom
data_HoTm2Si2Pt7
_cell_length_a 4.012
_cell_length_b 4.012
_cell_length_c 13.753
_cell_angle_alpha 83.46
_cell_angle_beta 83.46
_cell_angle_gamma 89.51
_space_group_name_H-M_alt 'P 1'
_space_group_IT_number 1
loop_
_space_group_symop_operation_xyz
'x,y,z'
loop_
_atom_site_label
_atom_site_fract_x
_atom_site_fract_y
_atom_site_fract_z
Ho1 0.000 0.000 0.000
Tm1 0.876 0.876 0.357
Tm2 0.124 0.124 0.643
Si1 0.601 0.601 0.740
Si2 0.399 0.399 0.260
Pt1 0.500 0.500 0.000
Pt2 0.358 0.358 0.430
Pt3 0.642 0.642 0.570
Pt4 0.936 0.436 0.163
Pt5 0.436 0.936 0.163
Pt6 0.564 0.064 0.837
Pt7 0.064 0.564 0.837